[1]
# SmGdIr, optimized geometry, DFT PBE-GGA
data_SmGdIr
_cell_length_a 6.276
_cell_length_b 4.152
_cell_length_c 4.152
_cell_angle_alpha 120.00
_cell_angle_beta 90.00
_cell_angle_gamma 90.00
_space_group_name_H-M_alt 'P 1'
_space_group_IT_number 1
_space_group_name_Hall 'P 1'
loop_
_atom_site_label
_atom_site_fract_x
_atom_site_fract_y
_atom_site_fract_z
_atom_site_occupancy
Sm1 0.768 0.667 0.333 1
Ir1 0.003 0.000 0.000 1
Gd1 0.229 0.333 0.667 1
# ΔH_f (0 K)   -527 meV per atom
# Total magnetization   7.18 μB/f.u.
# Density of states at the Fermi level   2.26 states/eV/f.u.
# Space-group type   P3m1 (156)

---

[2]
# YInCu, optimized geometry, DFT PBE-GGA
data_YInCu
_cell_length_a 3.949
_cell_length_b 7.512
_cell_length_c 13.100
_cell_angle_alpha 90.00
_cell_angle_beta 90.00
_cell_angle_gamma 90.00
_space_group_name_H-M_alt 'P 1'
_space_group_IT_number 1
_space_group_name_Hall 'P 1'
loop_
_atom_site_label
_atom_site_fract_x
_atom_site_fract_y
_atom_site_fract_z
_atom_site_occupancy
Y1 0.000 0.231 0.955 1
In1 0.500 0.808 0.250 1
In2 0.500 0.571 0.621 1
Cu1 0.500 0.943 0.910 1
Cu2 0.000 0.443 0.750 1
Y2 0.000 0.769 0.455 1
Y3 0.000 0.852 0.750 1
Cu3 0.000 0.557 0.250 1
Y4 0.000 0.231 0.545 1
In3 0.500 0.429 0.121 1
In4 0.500 0.192 0.750 1
Cu4 0.500 0.057 0.410 1
Cu5 0.500 0.057 0.090 1
Y5 0.000 0.148 0.250 1
Cu6 0.500 0.943 0.590 1
In5 0.500 0.429 0.379 1
In6 0.500 0.571 0.879 1
Y6 0.000 0.769 0.045 1
# ΔH_f (0 K)   -409 meV per atom
# Total magnetization   0.00 μB/f.u.
# Density of states at the Fermi level   1.64 states/eV/f.u.
# Space-group type   Pmma (51)

---

[3]
# NaPmSnIr, optimized geometry, DFT PBE-GGA
data_NaPmSnIr
_cell_length_a 4.925
_cell_length_b 4.925
_cell_length_c 4.925
_cell_angle_alpha 60.00
_cell_angle_beta 60.00
_cell_angle_gamma 60.00
_space_group_name_H-M_alt 'P 1'
_space_group_IT_number 1
_space_group_name_Hall 'P 1'
loop_
_atom_site_label
_atom_site_fract_x
_atom_site_fract_y
_atom_site_fract_z
_atom_site_occupancy
Na1 0.000 0.000 0.000 1
Sn1 0.750 0.750 0.750 1
Pm1 0.250 0.250 0.250 1
Ir1 0.500 0.500 0.500 1
# ΔH_f (0 K)   -370 meV per atom
# Total magnetization   0.00 μB/f.u.
# Density of states at the Fermi level   4.99 states/eV/f.u.
# Space-group type   F-43m (216)

---

[4]
# Ag3I2Cl4, optimized geometry, DFT PBE-GGA
data_Ag3I2Cl4
_cell_length_a 8.172
_cell_length_b 7.296
_cell_length_c 8.636
_cell_angle_alpha 64.98
_cell_angle_beta 40.97
_cell_angle_gamma 55.94
_space_group_name_H-M_alt 'P 1'
_space_group_IT_number 1
_space_group_name_Hall 'P 1'
loop_
_atom_site_label
_atom_site_fract_x
_atom_site_fract_y
_atom_site_fract_z
_atom_site_occupancy
Cl1 0.990 0.294 0.716 1
I1 0.398 0.000 0.217 1
Ag1 0.000 0.000 0.000 1
I2 0.602 0.000 0.783 1
Cl2 0.284 0.706 0.716 1
Cl3 0.010 0.706 0.284 1
Ag2 0.000 0.500 0.000 1
Cl4 0.716 0.294 0.284 1
Ag3 0.500 0.500 0.000 1
# Total magnetization   0.77 μB/f.u.
# Density of states at the Fermi level   5.02 states/eV/f.u.
# Space-group type   C2/m (12)
# Formation energy without anion corrections   -0.25 eV/atom

---

[5]
# ZrSc2OsN, optimized geometry, DFT PBE-GGA
data_ZrSc2OsN
_cell_length_a 4.246
_cell_length_b 4.246
_cell_length_c 4.599
_cell_angle_alpha 90.00
_cell_angle_beta 90.00
_cell_angle_gamma 90.00
_space_group_name_H-M_alt 'P 1'
_space_group_IT_number 1
_space_group_name_Hall 'P 1'
loop_
_atom_site_label
_atom_site_fract_x
_atom_site_fract_y
_atom_site_fract_z
_atom_site_occupancy
Os1 0.500 0.500 0.500 1
Sc1 0.500 0.000 0.000 1
Sc2 0.000 0.500 0.000 1
N1 0.000 0.000 0.000 1
Zr1 0.000 0.000 0.500 1
# Total magnetization   0.00 μB/f.u.
# Density of states at the Fermi level   3.40 states/eV/f.u.
# Space-group type   P4/mmm (123)
# Formation energy without anion corrections   -0.82 eV/atom

---

[6]
# TmNbRu, optimized geometry, DFT PBE-GGA
data_TmNbRu
_cell_length_a 6.706
_cell_length_b 8.157
_cell_length_c 8.157
_cell_angle_alpha 69.52
_cell_angle_beta 65.73
_cell_angle_gamma 65.73
_space_group_name_H-M_alt 'P 1'
_space_group_IT_number 1
_space_group_name_Hall 'P 1'
loop_
_atom_site_label
_atom_site_fract_x
_atom_site_fract_y
_atom_site_fract_z
_atom_site_occupancy
Tm1 0.257 0.460 0.960 1
Ru1 0.590 0.667 0.667 1
Nb1 0.256 0.376 0.376 1
Nb2 0.008 0.624 0.624 1
Tm2 0.678 0.540 0.040 1
Nb3 0.507 0.000 0.000 1
Nb4 0.507 0.500 0.500 1
Ru2 0.256 0.250 0.750 1
Nb5 0.008 0.124 0.124 1
Ru3 0.590 0.167 0.167 1
Ru4 0.257 0.750 0.250 1
Ru5 0.923 0.833 0.833 1
Tm3 0.836 0.250 0.750 1
Ru6 0.923 0.333 0.333 1
Nb6 0.256 0.876 0.876 1
Tm4 0.836 0.750 0.250 1
Tm5 0.257 0.960 0.460 1
Tm6 0.677 0.040 0.540 1
# ΔH_f (0 K)   -261 meV per atom
# Total magnetization   0.00 μB/f.u.
# Density of states at the Fermi level   3.44 states/eV/f.u.
# Space-group type   Amm2 (38)

---

> Look up the density of states at the Fermi level of the second one.

1.64 states/eV/f.u.

---

> Which value of density of states at the Fermi level does entry 1 give?

2.26 states/eV/f.u.

---

> Among the records above, which one has the highest density of states at the Fermi level?

Ag3I2Cl4

---

> The highest density of states at the Fermi level belongs to which entry?

Ag3I2Cl4